[1]
## Mg2BiAu (PBE)

Data for Mg2BiAu after structural relaxation.

a b c (Å): 7.683 7.683 7.683
angles (deg): 29.73 29.73 29.73
Sites, in units of the cell vectors:
Mg (0.000, 0.000, 0.000)
Mg (0.198, 0.198, 0.198)
Bi (0.764, 0.764, 0.764)
Au (0.599, 0.599, 0.599)

SG ... R3m (160)
Formation energy from the elements ... -0.25 eV per atom
Raw total energy ... -2.832 eV/atom
Size of the total moment ... 0.00 μB/atom

[2]
## TlTcMo (PBE)

Data for TlTcMo after structural relaxation.

a b c (Å): 7.534 7.286 2.920
angles (deg): 83.46 73.89 22.64
Sites, in units of the cell vectors:
Tl (0.000, 0.000, 0.000)
Tc (0.322, 0.322, 0.678)
Mo (0.681, 0.681, 0.319)

SG ... Fmm2 (42)
Formation energy from the elements ... 0.60 eV per atom
Raw total energy ... -7.251 eV/atom
Distance to the lowest polymorph of the same formula ... 0.308 eV/atom
Size of the total moment ... 0.00 μB/atom

[3]
## Na3SmTl4 (PBE)

Data for Na3SmTl4 after structural relaxation.

a b c (Å): 8.410 8.407 5.456
angles (deg): 71.10 71.03 37.86
Sites, in units of the cell vectors:
Na (0.000, 0.000, 0.000)
Na (0.251, 0.251, 0.749)
Na (0.749, 0.749, 0.251)
Sm (0.500, 0.500, 0.500)
Tl (0.125, 0.125, 0.375)
Tl (0.375, 0.375, 0.125)
Tl (0.625, 0.625, 0.875)
Tl (0.875, 0.875, 0.625)

SG ... Fmmm (69)
Formation energy from the elements ... -0.17 eV per atom
Raw total energy ... -2.439 eV/atom
Size of the total moment ... 0.00 μB/atom

[4]
## Ti2SnHPd (PBE)

Data for Ti2SnHPd after structural relaxation.

a b c (Å): 4.056 4.056 4.281
angles (deg): 90.00 90.00 90.00
Sites, in units of the cell vectors:
Ti (0.000, 0.500, 0.000)
Ti (0.500, 0.000, 0.000)
Sn (0.000, 0.000, 0.500)
H (0.500, 0.500, 0.000)
Pd (0.500, 0.500, 0.500)

SG ... P4/mmm (123)
Raw total energy ... -6.140 eV/atom
Size of the total moment ... 0.00 μB/atom

[5]
## Tb2EuCl (PBE)

Data for Tb2EuCl after structural relaxation.

a b c (Å): 11.443 11.443 11.443
angles (deg): 17.66 17.66 17.66
Sites, in units of the cell vectors:
Tb (0.102, 0.102, 0.102)
Tb (0.898, 0.898, 0.898)
Eu (0.000, 0.000, 0.000)
Cl (0.500, 0.500, 0.500)

SG ... R-3m (166)
ΔE_f (raw) ... -404 meV per atom
Raw total energy ... -5.750 eV/atom
Size of the total moment ... 1.97 μB/atom

[6]
## Nd3SbP (PBE)

Data for Nd3SbP after structural relaxation.

a b c (Å): 9.675 9.675 7.348
angles (deg): 99.47 99.47 77.23
Sites, in units of the cell vectors:
Nd (0.035, 0.170, 0.429)
Nd (0.144, 0.652, 0.033)
Nd (0.170, 0.035, 0.929)
Nd (0.310, 0.471, 0.535)
Nd (0.348, 0.856, 0.467)
Nd (0.471, 0.310, 0.035)
Nd (0.529, 0.690, 0.965)
Nd (0.652, 0.144, 0.533)
Nd (0.690, 0.529, 0.465)
Nd (0.830, 0.966, 0.071)
Nd (0.856, 0.348, 0.967)
Nd (0.966, 0.830, 0.571)
Sb (0.141, 0.351, 0.797)
Sb (0.351, 0.141, 0.297)
Sb (0.649, 0.859, 0.703)
Sb (0.859, 0.649, 0.203)
P (0.251, 0.749, 0.750)
P (0.415, 0.585, 0.250)
P (0.585, 0.415, 0.750)
P (0.749, 0.251, 0.250)

SG ... C2/c (15)
ΔE_f (raw) ... -992 meV per atom
Raw total energy ... -5.759 eV/atom
Size of the total moment ... 0.07 μB/atom

[7]
## Sm2Be4Si3Pd (PBE)

Data for Sm2Be4Si3Pd after structural relaxation.

a b c (Å): 3.911 3.911 9.824
angles (deg): 90.00 90.00 90.00
Sites, in units of the cell vectors:
Sm (0.000, 0.500, 0.243)
Sm (0.500, 0.000, 0.757)
Be (0.000, 0.000, 0.000)
Be (0.000, 0.500, 0.633)
Be (0.500, 0.000, 0.367)
Be (0.500, 0.500, 0.000)
Si (0.000, 0.500, 0.869)
Si (0.500, 0.000, 0.131)
Si (0.500, 0.500, 0.500)
Pd (0.000, 0.000, 0.500)

SG ... P-4m2 (115)
ΔE_f (raw) ... -522 meV per atom
Raw total energy ... -5.102 eV/atom
Size of the total moment ... 0.00 μB/atom

[8]
## SrAsRhO6 (PBE)

Data for SrAsRhO6 after structural relaxation.

a b c (Å): 5.116 5.116 5.448
angles (deg): 90.00 90.00 120.00
Sites, in units of the cell vectors:
Sr (0.000, 0.000, 0.000)
As (0.333, 0.667, 0.500)
Rh (0.667, 0.333, 0.500)
O (0.016, 0.385, 0.695)
O (0.016, 0.631, 0.305)
O (0.369, 0.385, 0.305)
O (0.369, 0.984, 0.695)
O (0.615, 0.631, 0.695)
O (0.615, 0.984, 0.305)

SG ... P312 (149)
ΔE_f (raw) ... -1461 meV per atom
Raw total energy ... -6.287 eV/atom
Size of the total moment ... 0.23 μB/atom

[9]
## Mg4Hg2Pb (PBE)

Data for Mg4Hg2Pb after structural relaxation.

a b c (Å): 8.751 8.751 8.751
angles (deg): 32.29 32.29 32.29
Sites, in units of the cell vectors:
Mg (0.111, 0.111, 0.111)
Mg (0.371, 0.371, 0.371)
Mg (0.629, 0.629, 0.629)
Mg (0.889, 0.889, 0.889)
Hg (0.257, 0.257, 0.257)
Hg (0.743, 0.743, 0.743)
Pb (0.500, 0.500, 0.500)

SG ... R-3m (166)
Formation energy from the elements ... -0.13 eV per atom
Raw total energy ... -1.653 eV/atom
Size of the total moment ... 0.00 μB/atom

[10]
## UBiSe4 (PBE)

Data for UBiSe4 after structural relaxation.

a b c (Å): 7.078 7.005 6.943
angles (deg): 90.00 90.05 90.00
Sites, in units of the cell vectors:
U (0.000, 0.000, 0.000)
U (0.000, 0.500, 0.500)
Bi (0.500, 0.000, 0.500)
Bi (0.500, 0.500, 0.000)
Se (0.145, 0.160, 0.660)
Se (0.145, 0.340, 0.160)
Se (0.337, 0.638, 0.634)
Se (0.337, 0.862, 0.134)
Se (0.663, 0.138, 0.866)
Se (0.663, 0.362, 0.366)
Se (0.855, 0.660, 0.840)
Se (0.855, 0.840, 0.340)

SG ... P2_1/c (14)
ΔE_f (raw) ... -608 meV per atom
Raw total energy ... -5.459 eV/atom
Distance to the lowest polymorph of the same formula ... 0.161 eV/atom
Size of the total moment ... 0.17 μB/atom

[11]
## Tb3AgC (PBE)

Data for Tb3AgC after structural relaxation.

a b c (Å): 8.843 3.634 14.586
angles (deg): 90.00 90.00 90.00
Sites, in units of the cell vectors:
Tb (0.012, 0.250, 0.101)
Tb (0.180, 0.250, 0.519)
Tb (0.201, 0.750, 0.310)
Tb (0.299, 0.250, 0.810)
Tb (0.320, 0.750, 0.019)
Tb (0.488, 0.750, 0.601)
Tb (0.512, 0.250, 0.399)
Tb (0.680, 0.250, 0.981)
Tb (0.701, 0.750, 0.190)
Tb (0.799, 0.250, 0.690)
Tb (0.820, 0.750, 0.481)
Tb (0.988, 0.750, 0.899)
Ag (0.091, 0.750, 0.683)
Ag (0.409, 0.250, 0.183)
Ag (0.591, 0.750, 0.817)
Ag (0.909, 0.250, 0.317)
C (0.160, 0.250, 0.953)
C (0.340, 0.750, 0.453)
C (0.660, 0.250, 0.547)
C (0.840, 0.750, 0.047)

SG ... Pnma (62)
Formation energy from the elements ... -0.26 eV per atom
Raw total energy ... -5.449 eV/atom
Distance to the lowest polymorph of the same formula ... 0.000 eV/atom
Size of the total moment ... 0.00 μB/atom

[12]
## In2PtBr2 (PBE)

Data for In2PtBr2 after structural relaxation.

a b c (Å): 6.107 6.107 6.107
angles (deg): 116.58 116.58 96.02
Sites, in units of the cell vectors:
In (0.250, 0.750, 0.500)
In (0.750, 0.250, 0.500)
Pt (0.000, 0.000, 0.000)
Br (0.295, 0.295, 0.000)
Br (0.705, 0.705, 0.000)

SG ... I4/mmm (139)
ΔE_f (raw) ... -113 meV per atom
Raw total energy ... -3.086 eV/atom
Distance to the lowest polymorph of the same formula ... 0.000 eV/atom
Size of the total moment ... 0.00 μB/atom

[13]
## YSnAu (PBE)

Data for YSnAu after structural relaxation.

a b c (Å): 8.638 8.638 4.441
angles (deg): 97.91 97.91 26.94
Sites, in units of the cell vectors:
Y (0.000, 0.000, 0.000)
Y (0.213, 0.213, 0.618)
Sn (0.387, 0.387, 0.448)
Sn (0.655, 0.655, 0.085)
Au (0.553, 0.553, 0.532)
Au (0.823, 0.823, 0.006)

SG ... Cm (8)
Formation energy from the elements ... -0.66 eV per atom
Raw total energy ... -5.240 eV/atom
Size of the total moment ... 0.00 μB/atom

[14]
## CeErTm (PBE)

Data for CeErTm after structural relaxation.

a b c (Å): 3.482 3.482 8.538
angles (deg): 90.00 90.00 120.00
Sites, in units of the cell vectors:
Ce (0.000, 0.000, 0.000)
Er (0.667, 0.333, 0.332)
Tm (0.333, 0.667, 0.669)

SG ... P3m1 (156)
Formation energy from the elements ... 0.06 eV per atom
Raw total energy ... -4.930 eV/atom
Distance to the lowest polymorph of the same formula ... 0.000 eV/atom
Size of the total moment ... 0.22 μB/atom

[15]
## CeH6Pt (PBE)

Data for CeH6Pt after structural relaxation.

a b c (Å): 4.865 4.865 4.865
angles (deg): 55.94 55.94 55.94
Sites, in units of the cell vectors:
Ce (0.000, 0.000, 0.000)
H (0.070, 0.599, 0.599)
H (0.401, 0.401, 0.930)
H (0.401, 0.930, 0.401)
H (0.599, 0.070, 0.599)
H (0.599, 0.599, 0.070)
H (0.930, 0.401, 0.401)
Pt (0.500, 0.500, 0.500)

SG ... R-3m (166)
Raw total energy ... -4.362 eV/atom
Size of the total moment ... 0.13 μB/atom

[16]
## La3Ga2Hg3 (PBE)

Data for La3Ga2Hg3 after structural relaxation.

a b c (Å): 6.171 6.171 15.973
angles (deg): 90.00 90.00 135.22
Sites, in units of the cell vectors:
La (0.089, 0.911, 0.604)
La (0.089, 0.911, 0.896)
La (0.365, 0.635, 0.750)
La (0.635, 0.365, 0.250)
La (0.911, 0.089, 0.104)
La (0.911, 0.089, 0.396)
Ga (0.205, 0.795, 0.108)
Ga (0.205, 0.795, 0.392)
Ga (0.795, 0.205, 0.608)
Ga (0.795, 0.205, 0.892)
Hg (0.354, 0.646, 0.250)
Hg (0.376, 0.624, 0.537)
Hg (0.376, 0.624, 0.963)
Hg (0.624, 0.376, 0.037)
Hg (0.624, 0.376, 0.463)
Hg (0.646, 0.354, 0.750)

SG ... Cmcm (63)
Formation energy from the elements ... -0.53 eV per atom
Raw total energy ... -3.249 eV/atom
Size of the total moment ... 0.00 μB/atom

[17]
## HgRu2Cl (PBE)

Data for HgRu2Cl after structural relaxation.

a b c (Å): 4.714 4.714 3.053
angles (deg): 90.00 90.00 90.14
Sites, in units of the cell vectors:
Hg (0.000, 0.000, 0.000)
Ru (0.000, 0.500, 0.500)
Ru (0.500, 0.000, 0.500)
Cl (0.500, 0.500, 0.000)

SG ... Cmmm (65)
ΔE_f (raw) ... 1016 meV per atom
Raw total energy ... -4.159 eV/atom
Distance to the lowest polymorph of the same formula ... 0.810 eV/atom
Size of the total moment ... 0.74 μB/atom

[18]
## NaTlSeN2 (PBE)

Data for NaTlSeN2 after structural relaxation.

a b c (Å): 4.633 4.633 5.652
angles (deg): 90.00 90.00 90.00
Sites, in units of the cell vectors:
Na (0.000, 0.000, 0.000)
Tl (0.500, 0.500, 0.500)
Se (0.000, 0.000, 0.500)
N (0.000, 0.500, 0.000)
N (0.500, 0.000, 0.000)

SG ... P4/mmm (123)
ΔE_f (raw) ... 1588 meV per atom
Raw total energy ... -3.176 eV/atom
Distance to the lowest polymorph of the same formula ... 0.266 eV/atom
Size of the total moment ... 1.12 μB/atom

[19]
## CaLaSc2 (PBE)

Data for CaLaSc2 after structural relaxation.

a b c (Å): 6.678 6.678 6.678
angles (deg): 146.98 129.47 61.69
Sites, in units of the cell vectors:
Ca (0.000, 0.000, 0.000)
La (0.719, 0.219, 0.500)
Sc (0.251, 0.751, 0.500)
Sc (0.468, 0.468, 0.000)

SG ... Imm2 (44)
Formation energy from the elements ... 0.17 eV per atom
Raw total energy ... -4.732 eV/atom
Distance to the lowest polymorph of the same formula ... 0.055 eV/atom
Size of the total moment ... 0.00 μB/atom

[20]
## BaCdBr2 (PBE)

Data for BaCdBr2 after structural relaxation.

a b c (Å): 5.752 5.752 5.752
angles (deg): 60.00 60.00 60.00
Sites, in units of the cell vectors:
Ba (0.000, 0.000, 0.000)
Cd (0.500, 0.500, 0.500)
Br (0.250, 0.250, 0.250)
Br (0.750, 0.750, 0.750)

SG ... Fm-3m (225)
ΔE_f (raw) ... -1382 meV per atom
Raw total energy ... -2.928 eV/atom
Distance to the lowest polymorph of the same formula ... 0.053 eV/atom
Size of the total moment ... 0.00 μB/atom